1.
{"formula": "Sm2Hf2O5", "functional": "PBE", "state": "optimized geometry", "lattice_angstrom": [[4.099, 0.000, 0.000], [0.000, 4.099, 0.000], [0.000, 0.000, 7.377]], "species": ["Sm", "Sm", "Hf", "Hf", "O", "O", "O", "O", "O"], "fractional_positions": [[0.000, 0.000, 0.000], [0.000, 0.000, 0.500], [0.500, 0.500, 0.218], [0.500, 0.500, 0.782], [0.000, 0.500, 0.254], [0.000, 0.500, 0.746], [0.500, 0.000, 0.254], [0.500, 0.000, 0.746], [0.500, 0.500, 0.500]], "energy_ev_per_atom": -8.82, "volume_a3_per_cell": 124, "density_g_cm3": 9.88}

=====

2.
{"formula": "Sm2Hf2O5", "functional": "PBE", "state": "optimized geometry", "lattice_angstrom": [[3.667, 0.000, 0.000], [0.000, 3.667, 0.000], [0.000, 0.000, 9.891]], "species": ["Sm", "Sm", "Hf", "Hf", "O", "O", "O", "O", "O"], "fractional_positions": [[0.000, 0.000, 0.249], [0.000, 0.000, 0.751], [0.500, 0.500, 0.000], [0.500, 0.500, 0.500], [0.000, 0.000, 0.000], [0.000, 0.500, 0.377], [0.000, 0.500, 0.623], [0.500, 0.000, 0.377], [0.500, 0.000, 0.623]], "energy_ev_per_atom": -8.62, "volume_a3_per_cell": 133, "density_g_cm3": 9.21}

=====

3.
{"formula": "Sm2HfO4", "functional": "PBE", "state": "optimized geometry", "lattice_angstrom": [[0.000, 4.778, 4.778], [4.778, 0.000, 4.778], [4.778, 4.778, 0.000]], "species": ["Sm", "Sm", "Sm", "Sm", "Hf", "Hf", "O", "O", "O", "O", "O", "O", "O", "O"], "fractional_positions": [[0.000, 0.000, 0.000], [0.000, 0.000, 0.500], [0.000, 0.500, 0.000], [0.500, 0.000, 0.000], [0.375, 0.375, 0.375], [0.625, 0.625, 0.625], [0.256, 0.256, 0.256], [0.256, 0.256, 0.732], [0.256, 0.732, 0.256], [0.268, 0.744, 0.744], [0.732, 0.256, 0.256], [0.744, 0.268, 0.744], [0.744, 0.744, 0.268], [0.744, 0.744, 0.744]], "energy_ev_per_atom": -8.58, "volume_a3_per_cell": 218, "density_g_cm3": 8.27}

=====

4.
{"formula": "Hf2Sn2O5", "functional": "PBE", "state": "optimized geometry", "lattice_angstrom": [[4.104, 0.000, 0.000], [0.000, 4.104, 0.000], [0.000, 0.000, 6.751]], "species": ["Hf", "Hf", "Sn", "Sn", "O", "O", "O", "O", "O"], "fractional_positions": [[0.000, 0.000, 0.000], [0.000, 0.000, 0.500], [0.500, 0.500, 0.202], [0.500, 0.500, 0.798], [0.000, 0.500, 0.287], [0.000, 0.500, 0.713], [0.500, 0.000, 0.287], [0.500, 0.000, 0.713], [0.500, 0.500, 0.500]], "energy_ev_per_atom": -6.86, "volume_a3_per_cell": 114, "density_g_cm3": 9.85}

=====

5.
{"formula": "Hf2Sn2O5", "functional": "PBE", "state": "optimized geometry", "lattice_angstrom": [[4.091, 0.000, 0.000], [0.000, 4.091, 0.000], [0.000, 0.000, 8.132]], "species": ["Hf", "Hf", "Sn", "Sn", "O", "O", "O", "O", "O"], "fractional_positions": [[0.000, 0.000, 0.249], [0.000, 0.000, 0.751], [0.500, 0.500, 0.000], [0.500, 0.500, 0.500], [0.000, 0.000, 0.000], [0.000, 0.500, 0.243], [0.000, 0.500, 0.757], [0.500, 0.000, 0.243], [0.500, 0.000, 0.757]], "energy_ev_per_atom": -8.01, "volume_a3_per_cell": 136, "density_g_cm3": 8.23}

=====

6.
{"formula": "HfSn2O4", "functional": "PBE", "state": "optimized geometry", "lattice_angstrom": [[0.000, 4.859, 4.859], [4.859, 0.000, 4.859], [4.859, 4.859, 0.000]], "species": ["Hf", "Hf", "Sn", "Sn", "Sn", "Sn", "O", "O", "O", "O", "O", "O", "O", "O"], "fractional_positions": [[0.125, 0.125, 0.125], [0.875, 0.875, 0.875], [0.000, 0.500, 0.500], [0.500, 0.000, 0.500], [0.500, 0.500, 0.000], [0.500, 0.500, 0.500], [0.226, 0.758, 0.758], [0.242, 0.242, 0.242], [0.242, 0.242, 0.774], [0.242, 0.774, 0.242], [0.758, 0.226, 0.758], [0.758, 0.758, 0.226], [0.758, 0.758, 0.758], [0.774, 0.242, 0.242]], "energy_ev_per_atom": -7.25, "volume_a3_per_cell": 229, "density_g_cm3": 6.95}

=====

7.
{"formula": "SrHfO3", "functional": "PBE", "state": "optimized geometry", "lattice_angstrom": [[3.539, 0.000, 0.000], [0.000, 3.539, 0.000], [0.000, 0.000, 6.061]], "species": ["Sr", "Hf", "O", "O", "O"], "fractional_positions": [[0.000, 0.000, 0.000], [0.500, 0.500, 0.418], [0.000, 0.000, 0.612], [0.000, 0.500, 0.249], [0.500, 0.000, 0.249]], "energy_ev_per_atom": -7.85, "volume_a3_per_cell": 76, "density_g_cm3": 6.87}

=====

8.
{"formula": "SrHfO3", "functional": "PBE", "state": "optimized geometry", "lattice_angstrom": [[5.903, 0.000, 0.000], [0.000, 9.284, 0.000], [0.000, 0.000, 5.787]], "species": ["Sr", "Sr", "Sr", "Sr", "Hf", "Hf", "Hf", "Hf", "O", "O", "O", "O", "O", "O", "O", "O", "O", "O", "O", "O"], "fractional_positions": [[0.000, 0.000, 0.000], [0.000, 0.500, 0.000], [0.500, 0.000, 0.500], [0.500, 0.500, 0.500], [0.011, 0.250, 0.476], [0.489, 0.750, 0.976], [0.511, 0.250, 0.024], [0.989, 0.750, 0.524], [0.144, 0.094, 0.641], [0.144, 0.406, 0.641], [0.187, 0.250, 0.178], [0.313, 0.750, 0.678], [0.356, 0.594, 0.141], [0.356, 0.906, 0.141], [0.644, 0.094, 0.859], [0.644, 0.406, 0.859], [0.687, 0.250, 0.322], [0.813, 0.750, 0.822], [0.856, 0.594, 0.359], [0.856, 0.906, 0.359]], "energy_ev_per_atom": -8.37, "volume_a3_per_cell": 317, "density_g_cm3": 6.58}